Material: K2SrP
Method: DFT, GGA-PBEsol
State: relaxed

a b c (Å): 4.148 4.148 9.801
angles (deg): 90.00 90.00 90.00
Fractional positions:
K (0.000, 0.000, 0.000)
K (0.500, 0.500, 0.385)
Sr (0.500, 0.500, 0.708)
P (0.000, 0.000, 0.638)

Computed properties:
Space-group type   P4mm, No. 99
Calculated formation energy   -0.320 eV per atom
Fermi-level density of states   0.441 states/eV/atom
DFT total energy   -11.18 eV per formula unit